# 1
A plane-wave DFT calculation with PBE was carried out for a relaxed structure of PmY5Al4.

Properties
- Space-group type: P4/mmm
- Formation energy from the elements: -0.330 eV/atom
- N(E_F): 0.782 states/eV/atom

a b c (Å): 3.5846 3.5846 19.8790
angles (deg): 90.00 90.00 90.00
With the nearest neighbours (Å) after each atom.
Positions (direct):
Pm 0.0000 0.0000 0.0000  4 Pm 3.58, 8 Y 3.65
Y 0.5000 0.5000 0.1325  4 Al 3.12
Y 0.5000 0.5000 0.3165  8 Al 3.12-3.14
Y 0.5000 0.5000 0.5000  8 Al 3.13
Y 0.5000 0.5000 0.6835  8 Al 3.12-3.14
Y 0.5000 0.5000 0.8675  4 Al 3.12
Al 0.0000 0.0000 0.2236  8 Y 3.12-3.14
Al 0.0000 0.0000 0.4080  8 Y 3.12-3.13
Al 0.0000 0.0000 0.5920  8 Y 3.12-3.13
Al 0.0000 0.0000 0.7764  8 Y 3.12-3.14

---

# 2
A plane-wave DFT calculation with PBE was carried out for a relaxed structure of ScPdS2.

Properties
- Space-group type: Fm-3m
- Relative energy among the computed polymorphs: 190 meV/atom
- N(E_F): 1.946 states/eV/atom

a b c (Å): 4.5065 4.5065 4.5065
angles (deg): 60.00 60.00 60.00
With the nearest neighbours (Å) after each atom.
Positions (direct):
Sc 0.0000 0.0000 0.0000  8 S 2.76
Pd 0.5000 0.5000 0.5000  8 S 2.76
S 0.2500 0.2500 0.2500  4 Sc 2.76, 4 Pd 2.76
S 0.7500 0.7500 0.7500  4 Sc 2.76, 4 Pd 2.76

---

# 3
A plane-wave DFT calculation with PBE was carried out for a relaxed structure of Ca3NbS.

Properties
- Space-group type: Pm-3m
- Relative energy among the computed polymorphs: 912 meV/atom
- N(E_F): 1.152 states/eV/atom

a b c (Å): 5.4033 5.4033 5.4033
angles (deg): 90.00 90.00 90.00
With the nearest neighbours (Å) after each atom.
Positions (direct):
Ca 0.0000 0.0000 0.5000  2 Nb 2.70
Ca 0.0000 0.5000 0.0000  2 Nb 2.70
Ca 0.5000 0.0000 0.0000  2 Nb 2.70
Nb 0.0000 0.0000 0.0000  6 Ca 2.70
S 0.5000 0.5000 0.5000  12 Ca 3.82

---

# 4
A plane-wave DFT calculation with PBE was carried out for a relaxed structure of ScAs2Os.

Properties
- Space-group type: Imm2
- Relative energy among the computed polymorphs: 5 meV/atom
- Formation energy from the elements: -0.411 eV/atom
- N(E_F): 0.424 states/eV/atom

a b c (Å): 6.4179 6.4179 6.4179
angles (deg): 151.79 145.43 45.20
With the nearest neighbours (Å) after each atom.
Positions (direct):
Sc 0.0000 0.0000 0.0000  6 As 2.71-2.75
As 0.4045 0.4045 0.0000  2 Os 2.51, 4 Sc 2.71
As 0.6668 0.1668 0.5000  4 Os 2.61, 2 Sc 2.75
Os 0.2384 0.7384 0.5000  6 As 2.51-2.61

---

# 5
A plane-wave DFT calculation with PBE was carried out for a relaxed structure of NaMnIn2Ge.

Properties
- Space-group type: P4/mmm
- Formation energy from the elements: 0.037 eV/atom
- N(E_F): 0.140 states/eV/atom

a b c (Å): 5.0606 5.0606 4.6013
angles (deg): 90.00 90.00 90.00
With the nearest neighbours (Å) after each atom.
Positions (direct):
Na 0.0000 0.0000 0.0000  8 In 3.42, 4 Ge 3.58
Mn 0.5000 0.5000 0.5000  2 Ge 2.30, 4 In 2.53
In 0.0000 0.5000 0.5000  2 Mn 2.53
In 0.5000 0.0000 0.5000  2 Mn 2.53
Ge 0.5000 0.5000 0.0000  2 Mn 2.30

---

# 6
A plane-wave DFT calculation with PBE was carried out for a relaxed structure of Mn2SiPCl.

Properties
- Space-group type: P4/mmm
- Raw total energy: -5.4404 eV per atom
- N(E_F): 0.261 states/eV/atom

a b c (Å): 4.8426 4.8426 4.4556
angles (deg): 90.00 90.00 90.00
With the nearest neighbours (Å) after each atom.
Positions (direct):
Mn 0.0000 0.5000 0.0000  2 Si 2.42
Mn 0.5000 0.0000 0.0000  2 Si 2.42
Si 0.0000 0.0000 0.0000  2 Cl 2.23, 4 Mn 2.42
P 0.5000 0.5000 0.5000  8 Mn 3.29, 4 Cl 3.42
Cl 0.0000 0.0000 0.5000  2 Si 2.23